# Li3FeP2HO8 | Alexandria | GGA-PBEsol | relaxed
data_Li3FeP2HO8
_chemical_formula_sum 'Li3 Fe1 P2 H1 O8'
_cell_length_a 4.9389
_cell_length_b 5.0099
_cell_length_c 6.1598
_cell_angle_alpha 89.32
_cell_angle_beta 89.80
_cell_angle_gamma 67.39
_space_group_name_H-M_alt 'P -1'
_space_group_IT_number 2
loop_
_space_group_symop_operation_xyz
'x,y,z'
'-x,-y,-z'
loop_
_atom_site_label
_atom_site_fract_x
_atom_site_fract_y
_atom_site_fract_z
Li1 0.0000 0.0000 0.0000
Li2 0.3792 0.2211 0.7426
Fe1 0.0000 0.0000 0.5000
P1 0.3589 0.3600 0.2543
H1 0.0000 0.5000 0.0000
O1 0.2196 0.2935 0.0411
O2 0.2379 0.2464 0.4491
O3 0.2699 0.6912 0.2632
O4 0.3063 0.8083 0.7606
# V	9.4	Å³ per atom
# total DFT energy (no corrections)	-0.250	Ha/atom